The following is a DFT calculation (PBE) of an optimized crystal structure of Ac3RuAuCl.

Results
SG   P2_1/m
Formation energy (no corrections)   -0.751 eV/atom
Density   8.42 g/cm³

Cell: 8.849 4.506 10.084 Å, 90.00 95.89 90.00°
Fractional coordinates of all 12 atoms:
1 Ac 0.086 0.250 0.347
2 Ac 0.205 0.250 0.929
3 Ac 0.364 0.750 0.621
4 Ac 0.636 0.250 0.379
5 Ac 0.795 0.750 0.071
6 Ac 0.914 0.750 0.653
7 Ru 0.145 0.250 0.655
8 Ru 0.855 0.750 0.345
9 Au 0.347 0.750 0.300
10 Au 0.653 0.250 0.700
11 Cl 0.420 0.750 0.914
12 Cl 0.580 0.250 0.086

***

The following is a DFT calculation (PBE) of an optimized crystal structure of Ac8Ru3AuCl4.

Results
SG   C2/m
Formation energy (no corrections)   -1.022 eV/atom
Density   7.81 g/cm³

Cell: 8.689 8.689 9.437 Å, 117.44 117.44 60.01°
Fractional coordinates of all 16 atoms:
1 Ac 0.218 0.743 0.704
2 Ac 0.235 0.235 0.706
3 Ac 0.257 0.257 0.296
4 Ac 0.257 0.782 0.296
5 Ac 0.743 0.218 0.704
6 Ac 0.743 0.743 0.704
7 Ac 0.765 0.765 0.294
8 Ac 0.782 0.257 0.296
9 Ru 0.000 0.000 0.500
10 Ru 0.000 0.500 0.500
11 Ru 0.500 0.000 0.500
12 Au 0.500 0.500 0.500
13 Cl 0.000 0.000 0.000
14 Cl 0.000 0.500 0.000
15 Cl 0.500 0.000 0.000
16 Cl 0.500 0.500 0.000

***

The following is a DFT calculation (PBE) of an optimized crystal structure of Ac6Ru2AuCl3.

Results
SG   C2/m
Formation energy (no corrections)   -1.069 eV/atom
Density   7.80 g/cm³

Cell: 7.571 7.571 8.388 Å, 98.42 98.42 120.09°
Fractional coordinates of all 12 atoms:
1 Ac 0.078 0.433 0.795
2 Ac 0.210 0.210 0.204
3 Ac 0.433 0.078 0.795
4 Ac 0.567 0.922 0.205
5 Ac 0.790 0.790 0.796
6 Ac 0.922 0.567 0.205
7 Ru 0.166 0.834 0.000
8 Ru 0.834 0.166 0.000
9 Au 0.500 0.500 0.000
10 Cl 0.000 0.000 0.500
11 Cl 0.322 0.678 0.500
12 Cl 0.678 0.322 0.500

***

The following is a DFT calculation (PBE) of an optimized crystal structure of Ac4AuSe2Cl.

Results
SG   P2/m
Formation energy (no corrections)   -1.487 eV/atom
Density   8.40 g/cm³

Cell: 7.761 4.368 7.984 Å, 90.00 108.56 90.00°
Fractional coordinates of all 8 atoms:
1 Ac 0.242 0.000 0.245
2 Ac 0.243 0.500 0.745
3 Ac 0.757 0.500 0.255
4 Ac 0.758 0.000 0.755
5 Au 0.000 0.500 0.000
6 Se 0.000 0.000 0.500
7 Se 0.500 0.500 0.500
8 Cl 0.500 0.000 0.000

***

The following is a DFT calculation (PBE) of an optimized crystal structure of Ac4SiAuCl2.

Results
SG   P2/m
Formation energy (no corrections)   -1.130 eV/atom
Density   7.74 g/cm³

Cell: 7.482 4.520 8.115 Å, 90.00 109.80 90.00°
Fractional coordinates of all 8 atoms:
1 Ac 0.235 0.000 0.247
2 Ac 0.240 0.500 0.740
3 Ac 0.760 0.500 0.260
4 Ac 0.765 0.000 0.753
5 Si 0.000 0.000 0.500
6 Au 0.000 0.500 0.000
7 Cl 0.500 0.000 0.000
8 Cl 0.500 0.500 0.500

***

The following is a DFT calculation (PBE) of an optimized crystal structure of Ac3CoAu.

Results
Energy of formation   -135 meV per atom
SG   Pm-3m
ΔE to the lowest computed polymorph   218.4 meV/atom
Density   9.38 g/cm³

Cell: 5.495 5.495 5.495 Å, 90.00 90.00 90.00°
Fractional coordinates of all 5 atoms:
1 Ac 0.000 0.000 0.500
2 Ac 0.000 0.500 0.000
3 Ac 0.500 0.000 0.000
4 Co 0.000 0.000 0.000
5 Au 0.500 0.500 0.500

***

The following is a DFT calculation (PBE) of an optimized crystal structure of Ac6Co2Au.

Results
Energy of formation   -169 meV per atom
SG   P-31m
Density   8.21 g/cm³

Cell: 7.505 7.505 6.956 Å, 90.00 90.00 120.00°
Fractional coordinates of all 9 atoms:
1 Ac 0.000 0.358 0.270
2 Ac 0.000 0.642 0.730
3 Ac 0.358 0.000 0.270
4 Ac 0.358 0.358 0.730
5 Ac 0.642 0.000 0.730
6 Ac 0.642 0.642 0.270
7 Co 0.333 0.667 0.500
8 Co 0.667 0.333 0.500
9 Au 0.000 0.000 0.500

***

The following is a DFT calculation (PBE) of an optimized crystal structure of Ac8CoAu2.

Results
Energy of formation   -293 meV per atom
SG   C2/m
Density   9.17 g/cm³

Cell: 10.290 10.290 9.827 Å, 93.10 93.10 23.31°
Fractional coordinates of all 11 atoms:
1 Ac 0.007 0.007 0.199
2 Ac 0.227 0.227 0.330
3 Ac 0.352 0.352 0.009
4 Ac 0.407 0.407 0.485
5 Ac 0.593 0.593 0.515
6 Ac 0.648 0.648 0.991
7 Ac 0.773 0.773 0.670
8 Ac 0.993 0.993 0.801
9 Co 0.500 0.500 0.000
10 Au 0.159 0.159 0.739
11 Au 0.841 0.841 0.261

***

The following is a DFT calculation (PBE) of an optimized crystal structure of Ac7CoAu4.

Results
Energy of formation   -514 meV per atom
SG   Cm
Density   9.72 g/cm³

Cell: 7.569 7.569 14.185 Å, 108.32 108.32 32.81°
Fractional coordinates of all 12 atoms:
1 Ac 0.000 0.000 0.000
2 Ac 0.066 0.066 0.574
3 Ac 0.271 0.271 0.405
4 Ac 0.370 0.370 0.710
5 Ac 0.518 0.518 0.253
6 Ac 0.708 0.708 0.853
7 Ac 0.744 0.744 0.148
8 Co 0.131 0.131 0.202
9 Au 0.039 0.039 0.789
10 Au 0.340 0.340 0.021
11 Au 0.725 0.725 0.564
12 Au 0.914 0.914 0.357

***

The following is a DFT calculation (PBE) of an optimized crystal structure of Ac12Co2Au5.

Results
Energy of formation   -384 meV per atom
SG   C2/m
Density   9.10 g/cm³

Cell: 9.824 9.824 9.857 Å, 104.43 104.43 49.77°
Fractional coordinates of all 19 atoms:
1 Ac 0.003 0.003 0.292
2 Ac 0.073 0.589 0.402
3 Ac 0.104 0.607 0.939
4 Ac 0.393 0.896 0.061
5 Ac 0.411 0.927 0.598
6 Ac 0.487 0.487 0.685
7 Ac 0.513 0.513 0.315
8 Ac 0.589 0.073 0.402
9 Ac 0.607 0.104 0.939
10 Ac 0.896 0.393 0.061
11 Ac 0.927 0.411 0.598
12 Ac 0.997 0.997 0.708
13 Co 0.245 0.755 0.500
14 Co 0.755 0.245 0.500
15 Au 0.189 0.189 0.337
16 Au 0.207 0.207 0.864
17 Au 0.500 0.500 0.000
18 Au 0.793 0.793 0.136
19 Au 0.811 0.811 0.663

***

The following is a DFT calculation (PBE) of an optimized crystal structure of Ac3CoAu.

Results
Energy of formation   -267 meV per atom
SG   Pmc2_1
ΔE to the lowest computed polymorph   85.8 meV/atom
Density   9.72 g/cm³

Cell: 5.422 8.592 6.875 Å, 90.00 90.00 90.00°
Fractional coordinates of all 10 atoms:
1 Ac 0.000 0.000 0.000
2 Ac 0.000 0.000 0.500
3 Ac 0.000 0.386 0.249
4 Ac 0.000 0.614 0.749
5 Ac 0.500 0.269 0.749
6 Ac 0.500 0.731 0.249
7 Co 0.000 0.275 0.751
8 Co 0.000 0.725 0.251
9 Au 0.500 0.142 0.250
10 Au 0.500 0.858 0.750